Record 1
Computed, not measured: a geometry-optimized HfZn2Pt5 structure at the GGA-PBE level of DFT.

a = 4.0556 Å, b = 4.0556 Å, c = 8.0816 Å
α = 104.53°, β = 104.53°, γ = 90.00°
Closest atoms and distances in Å follow each position.
Element x y z (fractional)
Zn  0.7470  0.7470  0.4941  8 Pt 2.67-2.72, 4 Zn 2.87
Pt  0.1325  0.6325  0.2651  4 Zn 2.67-2.72, 2 Hf 2.85, 6 Pt 2.85-2.87
Hf  0.0000  0.0000  0.0000  12 Pt 2.85-2.87
Pt  0.3675  0.8675  0.7349  4 Zn 2.67-2.72, 6 Pt 2.85-2.87, 2 Hf 2.85
Pt  0.8675  0.3675  0.7349  4 Zn 2.67-2.72, 2 Hf 2.85, 6 Pt 2.85-2.87
Pt  0.5000  0.5000  0.0000  8 Pt 2.85, 4 Hf 2.87
Pt  0.6325  0.1325  0.2651  4 Zn 2.67-2.72, 6 Pt 2.85-2.87, 2 Hf 2.85
Zn  0.2530  0.2530  0.5059  8 Pt 2.67-2.72, 4 Zn 2.87

Summary:
electronic total energy = -0.45211 Ry/atom
magnetization = 0.000 μB per atom
ΔE_f = -813 meV/atom

---

Record 2
Computed, not measured: a geometry-optimized HfZn7Pt4 structure at the GGA-PBE level of DFT.

a = 4.8849 Å, b = 8.4059 Å, c = 5.5283 Å
α = 86.10°, β = 63.78°, γ = 73.11°
Closest atoms and distances in Å follow each position.
Element x y z (fractional)
Pt  0.6133  0.2216  0.5519  7 Zn 2.55-2.83
Zn  0.3297  0.5529  0.7877  5 Pt 2.56-2.83, 3 Zn 2.66-2.84
Zn  0.7859  0.9042  0.5241  2 Zn 2.43-2.44, 4 Pt 2.55-2.66
Hf  0.0000  0.0000  0.0000  2 Zn 2.44
Zn  0.9698  0.3802  0.6803  3 Zn 2.44-2.72, 1 Pt 2.57
Zn  0.2141  0.0958  0.4759  2 Zn 2.43-2.44, 4 Pt 2.55-2.66
Pt  0.2813  0.3152  0.1222  7 Zn 2.56-2.78
Pt  0.3867  0.7784  0.4481  7 Zn 2.55-2.83
Pt  0.7187  0.6848  0.8778  7 Zn 2.56-2.78
Zn  0.6703  0.4471  0.2123  5 Pt 2.56-2.83, 3 Zn 2.66-2.84
Zn  0.5000  0.0000  0.0000  2 Zn 2.43, 2 Hf 2.44, 2 Pt 2.56
Zn  0.0302  0.6198  0.3197  3 Zn 2.44-2.72, 1 Pt 2.57

Summary:
electronic total energy = -0.27622 Ry/atom
magnetization = 0.000 μB per atom
ΔE_f = -172 meV/atom

---

Record 3
Computed, not measured: a geometry-optimized HfZn3Pt6 structure at the GGA-PBE level of DFT.

a = 4.0783 Å, b = 8.4143 Å, c = 9.0880 Å
α = 94.85°, β = 90.00°, γ = 90.00°
Closest atoms and distances in Å follow each position.
Element x y z (fractional)
Pt  0.7500  0.1554  0.7040  4 Zn 2.70-2.87, 5 Pt 2.80-2.91, 3 Hf 2.81-2.98
Zn  0.7500  0.4486  0.6037  8 Pt 2.61-2.78
Pt  0.7500  0.8437  0.7908  2 Hf 2.72, 8 Pt 2.79-2.87, 2 Zn 2.86
Pt  0.2500  0.2561  0.5122  4 Zn 2.69-2.78, 5 Pt 2.81-2.98, 3 Hf 2.81-2.93
Hf  0.2500  0.9371  0.6196  10 Pt 2.72-2.98
Pt  0.2500  0.8446  0.2960  4 Zn 2.70-2.87, 5 Pt 2.80-2.91, 3 Hf 2.81-2.98
Zn  0.2500  0.5514  0.3963  8 Pt 2.61-2.78
Pt  0.2500  0.4620  0.1025  7 Zn 2.67-2.78, 5 Pt 2.82-2.91
Pt  0.7500  0.5380  0.8975  7 Zn 2.67-2.78, 5 Pt 2.82-2.91
Zn  0.7500  0.2512  0.0148  10 Pt 2.72-2.87, 2 Zn 2.90
Pt  0.7500  0.9405  0.0921  4 Zn 2.64-2.76, 1 Hf 2.73, 7 Pt 2.79-2.91
Zn  0.2500  0.3468  0.8126  8 Pt 2.64-2.77, 2 Zn 2.90
Pt  0.2500  0.0595  0.9079  4 Zn 2.64-2.76, 1 Hf 2.73, 7 Pt 2.79-2.91
Zn  0.7500  0.6532  0.1874  8 Pt 2.64-2.77, 2 Zn 2.90
Pt  0.2500  0.1563  0.2092  2 Hf 2.72, 8 Pt 2.79-2.87, 2 Zn 2.86
Hf  0.7500  0.0629  0.3804  10 Pt 2.72-2.98
Pt  0.7500  0.3746  0.3086  5 Zn 2.61-2.78, 1 Hf 2.76, 4 Pt 2.84-2.91
Pt  0.2500  0.6254  0.6914  5 Zn 2.61-2.78, 1 Hf 2.76, 4 Pt 2.84-2.91
Zn  0.2500  0.7488  0.9852  10 Pt 2.72-2.87, 2 Zn 2.90
Pt  0.7500  0.7439  0.4878  4 Zn 2.69-2.78, 5 Pt 2.81-2.98, 3 Hf 2.81-2.93

Summary:
electronic total energy = -0.41916 Ry/atom
magnetization = 0.000 μB per atom
ΔE_f = -701 meV/atom

---

Record 4
Computed, not measured: a geometry-optimized HfZnPt3 structure at the GGA-PBE level of DFT.

a = 4.8081 Å, b = 6.4480 Å, c = 6.4480 Å
α = 119.96°, β = 90.00°, γ = 90.00°
Closest atoms and distances in Å follow each position.
Element x y z (fractional)
Pt  0.7500  0.1964  0.3924  2 Zn 2.50, 2 Pt 2.65
Zn  0.5000  0.0000  0.0000  2 Zn 2.40, 6 Pt 2.50
Pt  0.2500  0.8036  0.6076  2 Zn 2.50, 2 Pt 2.65
Hf  0.7500  0.6665  0.3335  6 Pt 2.85
Zn  0.0000  0.0000  0.0000  2 Zn 2.40, 6 Pt 2.50
Hf  0.2500  0.3335  0.6665  6 Pt 2.85
Pt  0.2500  0.8037  0.1963  2 Zn 2.50, 2 Pt 2.65
Pt  0.2500  0.3924  0.1964  2 Zn 2.50, 2 Pt 2.65
Pt  0.7500  0.1963  0.8037  2 Zn 2.50, 2 Pt 2.65
Pt  0.7500  0.6076  0.8036  2 Zn 2.50, 2 Pt 2.65

Summary:
electronic total energy = -0.47129 Ry/atom
magnetization = 0.000 μB per atom
ΔE_f = -542 meV/atom

---

Record 5
Computed, not measured: a geometry-optimized Hf6Zn3Pt structure at the GGA-PBE level of DFT.

a = 4.6270 Å, b = 8.1859 Å, c = 10.5680 Å
α = 90.00°, β = 90.00°, γ = 90.00°
Closest atoms and distances in Å follow each position.
Element x y z (fractional)
Zn  0.5000  0.8325  0.7210  6 Hf 2.71-3.01
Hf  0.5000  0.8363  0.4015  3 Zn 2.87-3.00, 1 Pt 2.94, 3 Hf 3.14-3.16
Hf  0.0000  0.9999  0.7537  1 Pt 2.60, 4 Zn 2.68-2.74
Hf  0.0000  0.0001  0.2463  1 Pt 2.60, 4 Zn 2.68-2.74
Zn  0.5000  0.5000  0.0000  8 Hf 2.68-2.87
Hf  0.5000  0.5001  0.2537  1 Pt 2.60, 4 Zn 2.68-2.74
Hf  0.5000  0.8295  0.0883  3 Zn 2.85-3.01, 2 Pt 2.86, 2 Hf 3.18
Pt  0.0000  0.0000  0.0000  6 Hf 2.60-2.86
Hf  0.0000  0.3363  0.0985  3 Zn 2.87-3.00, 1 Pt 2.94, 3 Hf 3.14-3.16
Pt  0.5000  0.5000  0.5000  6 Hf 2.60-2.86
Hf  0.5000  0.1705  0.9117  3 Zn 2.85-3.01, 2 Pt 2.86, 2 Hf 3.18
Hf  0.0000  0.6705  0.5883  3 Zn 2.85-3.01, 2 Pt 2.86, 2 Hf 3.18
Hf  0.0000  0.3295  0.4117  3 Zn 2.85-3.01, 2 Pt 2.86, 2 Hf 3.18
Zn  0.5000  0.1675  0.2790  6 Hf 2.71-3.01
Hf  0.5000  0.1637  0.5985  3 Zn 2.87-3.00, 1 Pt 2.94, 3 Hf 3.14-3.16
Hf  0.5000  0.4999  0.7463  1 Pt 2.60, 4 Zn 2.68-2.74
Zn  0.0000  0.6675  0.2210  6 Hf 2.71-3.01
Zn  0.0000  0.0000  0.5000  8 Hf 2.68-2.87
Zn  0.0000  0.3325  0.7790  6 Hf 2.71-3.01
Hf  0.0000  0.6637  0.9015  3 Zn 2.87-3.00, 1 Pt 2.94, 3 Hf 3.14-3.16

Summary:
electronic total energy = -0.52446 Ry/atom
magnetization = 0.000 μB per atom
ΔE_f = -177 meV/atom

---

Record 6
Computed, not measured: a geometry-optimized HfZn2Pt9 structure at the GGA-PBE level of DFT.

a = 3.9755 Å, b = 3.9755 Å, c = 11.8341 Å
α = 90.00°, β = 90.00°, γ = 90.00°
Closest atoms and distances in Å follow each position.
Element x y z (fractional)
Pt  0.5000  0.5000  0.6652  8 Pt 2.78-2.79, 4 Zn 2.81
Zn  0.0000  0.0000  0.3398  12 Pt 2.75-2.83
Pt  0.5000  0.5000  0.0000  4 Hf 2.81, 8 Pt 2.83
Pt  0.0000  0.5000  0.1701  8 Pt 2.78-2.83, 2 Zn 2.83, 2 Hf 2.83
Pt  0.5000  0.0000  0.5000  4 Zn 2.75, 8 Pt 2.79-2.81
Pt  0.0000  0.5000  0.5000  4 Zn 2.75, 8 Pt 2.79-2.81
Pt  0.0000  0.5000  0.8299  8 Pt 2.78-2.83, 2 Zn 2.83, 2 Hf 2.83
Zn  0.0000  0.0000  0.6602  12 Pt 2.75-2.83
Pt  0.5000  0.0000  0.8299  8 Pt 2.78-2.83, 2 Zn 2.83, 2 Hf 2.83
Hf  0.0000  0.0000  0.0000  12 Pt 2.81-2.83
Pt  0.5000  0.0000  0.1701  8 Pt 2.78-2.83, 2 Zn 2.83, 2 Hf 2.83
Pt  0.5000  0.5000  0.3348  8 Pt 2.78-2.79, 4 Zn 2.81

Summary:
electronic total energy = -0.45442 Ry/atom
magnetization = 0.000 μB per atom
ΔE_f = -610 meV/atom

---

Record 7
Computed, not measured: a geometry-optimized Hf6ZnPt structure at the GGA-PBE level of DFT.

a = 6.1483 Å, b = 6.1483 Å, c = 6.1534 Å
α = 103.94°, β = 103.94°, γ = 120.55°
Closest atoms and distances in Å follow each position.
Element x y z (fractional)
Hf  0.2491  0.2491  0.7492  1 Zn 2.64, 1 Pt 2.64
Hf  0.0421  0.4605  0.2449  1 Zn 2.71, 1 Pt 2.73
Zn  0.0000  0.0000  0.0000  6 Hf 2.64-2.71
Hf  0.9579  0.5395  0.7551  1 Zn 2.71, 1 Pt 2.73
Hf  0.7509  0.7509  0.2508  1 Zn 2.64, 1 Pt 2.64
Hf  0.5395  0.9579  0.7551  1 Zn 2.71, 1 Pt 2.73
Hf  0.4605  0.0421  0.2449  1 Zn 2.71, 1 Pt 2.73
Pt  0.5000  0.5000  0.5000  6 Hf 2.64-2.73

Summary:
electronic total energy = -0.60824 Ry/atom
magnetization = 0.000 μB per atom
ΔE_f = 104 meV/atom

---

Record 8
Computed, not measured: a geometry-optimized Hf2Zn3Pt4 structure at the GGA-PBE level of DFT.

a = 5.3454 Å, b = 7.4996 Å, c = 7.9667 Å
α = 90.00°, β = 109.60°, γ = 90.00°
Closest atoms and distances in Å follow each position.
Element x y z (fractional)
Zn  0.5179  0.7500  0.5358  5 Pt 2.56-2.66, 2 Zn 2.67
Pt  0.1720  0.9686  0.3439  5 Zn 2.56-2.66
Pt  0.8280  0.0314  0.6561  5 Zn 2.56-2.66
Zn  0.5000  0.5000  0.0000  6 Pt 2.47-2.59
Zn  0.0000  0.0000  0.0000  6 Pt 2.47-2.59
Pt  0.3090  0.2500  0.1180  3 Zn 2.47-2.60, 2 Pt 2.67
Pt  0.8090  0.2500  0.1180  3 Zn 2.47-2.60, 2 Pt 2.67
Pt  0.1910  0.7500  0.8820  3 Zn 2.47-2.60, 2 Pt 2.67
Hf  0.6028  0.9041  0.2057  7 Pt 2.91-3.00, 4 Zn 3.04-3.17
Hf  0.1028  0.5959  0.2057  7 Pt 2.91-3.00, 4 Zn 3.04-3.17
Hf  0.8972  0.4041  0.7943  7 Pt 2.91-3.00, 4 Zn 3.04-3.17
Hf  0.3972  0.0959  0.7943  7 Pt 2.91-3.00, 4 Zn 3.04-3.17
Pt  0.6720  0.5314  0.3439  5 Zn 2.56-2.66
Pt  0.3280  0.4686  0.6561  5 Zn 2.56-2.66
Zn  0.9821  0.2500  0.4642  5 Pt 2.56-2.66, 2 Zn 2.67
Zn  0.4821  0.2500  0.4642  5 Pt 2.56-2.66, 2 Zn 2.67
Zn  0.0179  0.7500  0.5358  5 Pt 2.56-2.66, 2 Zn 2.67
Pt  0.6910  0.7500  0.8820  3 Zn 2.47-2.60, 2 Pt 2.67

Summary:
electronic total energy = -0.44216 Ry/atom
magnetization = 0.000 μB per atom
ΔE_f = -695 meV/atom

---

Record 9
Computed, not measured: a geometry-optimized HfZn5Pt6 structure at the GGA-PBE level of DFT.

a = 4.1040 Å, b = 7.2858 Å, c = 6.4464 Å
α = 90.00°, β = 71.53°, γ = 90.00°
Closest atoms and distances in Å follow each position.
Element x y z (fractional)
Zn  0.3272  0.0000  0.3457  8 Pt 2.69-2.80, 2 Zn 2.78-2.79, 2 Hf 2.94-2.95
Zn  0.0000  0.5000  0.0000  8 Pt 2.72-2.73, 4 Zn 2.87
Pt  0.5000  0.7479  0.0000  6 Zn 2.70-2.80, 2 Hf 2.75, 4 Pt 2.90
Pt  0.1678  0.7450  0.6645  7 Zn 2.69-2.77, 1 Hf 2.77, 4 Pt 2.87-2.90
Pt  0.1678  0.2550  0.6645  7 Zn 2.69-2.77, 1 Hf 2.77, 4 Pt 2.87-2.90
Zn  0.6642  0.5000  0.6718  8 Pt 2.70-2.72, 4 Zn 2.87-2.94
Hf  0.0000  0.0000  0.0000  8 Pt 2.75-2.77, 4 Zn 2.94-2.95
Pt  0.8322  0.7450  0.3355  7 Zn 2.69-2.77, 1 Hf 2.77, 4 Pt 2.87-2.90
Pt  0.5000  0.2521  0.0000  6 Zn 2.70-2.80, 2 Hf 2.75, 4 Pt 2.90
Zn  0.3358  0.5000  0.3282  8 Pt 2.70-2.72, 4 Zn 2.87-2.94
Pt  0.8322  0.2550  0.3355  7 Zn 2.69-2.77, 1 Hf 2.77, 4 Pt 2.87-2.90
Zn  0.6728  0.0000  0.6543  8 Pt 2.69-2.80, 2 Zn 2.78-2.79, 2 Hf 2.94-2.95

Summary:
electronic total energy = -0.37264 Ry/atom
magnetization = 0.000 μB per atom
ΔE_f = -689 meV/atom

---

Record 10
Computed, not measured: a geometry-optimized HfZnPt structure at the GGA-PBE level of DFT.

a = 3.7672 Å, b = 4.4030 Å, c = 6.4434 Å
α = 90.00°, β = 106.96°, γ = 90.00°
Closest atoms and distances in Å follow each position.
Element x y z (fractional)
Hf  0.0980  0.7500  0.1954  4 Pt 2.76-2.81, 6 Zn 2.87-2.91
Hf  0.9020  0.2500  0.8046  4 Pt 2.76-2.81, 6 Zn 2.87-2.91
Pt  0.7609  0.7500  0.5218  2 Zn 2.73-2.74, 4 Hf 2.76-2.81, 4 Pt 2.91
Zn  0.4217  0.7500  0.8435  2 Pt 2.73-2.74, 6 Hf 2.87-2.91, 2 Zn 2.93
Zn  0.5783  0.2500  0.1565  2 Pt 2.73-2.74, 6 Hf 2.87-2.91, 2 Zn 2.93
Pt  0.2391  0.2500  0.4782  2 Zn 2.73-2.74, 4 Hf 2.76-2.81, 4 Pt 2.91

Summary:
electronic total energy = -0.47068 Ry/atom
magnetization = 0.000 μB per atom
ΔE_f = -648 meV/atom